Entry 1:
{"formula": "Zr2GeRu2", "functional": "PBE-GGA", "state": "relaxed", "lattice_angstrom": [[6.405, 0.000, 0.000], [0.000, 6.405, 0.000], [0.000, 0.000, 4.403]], "species": ["Zr", "Zr", "Zr", "Zr", "Ge", "Ge", "Ru", "Ru", "Ru", "Ru"], "fractional_positions": [[0.178, 0.322, 0.000], [0.322, 0.822, 0.000], [0.678, 0.178, 0.000], [0.822, 0.678, 0.000], [0.000, 0.000, 0.500], [0.500, 0.500, 0.500], [0.140, 0.640, 0.500], [0.360, 0.140, 0.500], [0.640, 0.860, 0.500], [0.860, 0.360, 0.500]], "final_energy_ev_per_atom": -8.456, "magmom_total_mub_per_cell": 0.000, "sg": "P4/mbm, No. 127"}

Entry 2:
{"formula": "PmBr2Cl", "functional": "PBE-GGA", "state": "relaxed", "lattice_angstrom": [[-1.922, 5.545, 3.565], [1.922, -5.545, 3.565], [1.922, 5.545, -3.565]], "species": ["Pm", "Br", "Br", "Cl"], "fractional_positions": [[0.000, 0.000, 0.000], [0.009, 0.341, 0.668], [0.673, 0.341, 0.332], [0.274, 0.774, 0.500]], "final_energy_ev_per_atom": -4.451, "magmom_total_mub_per_cell": 0.000, "formation_energy_uncorrected_mev_per_atom": -1965, "sg": "Imm2, No. 44"}

Entry 3:
{"formula": "CaCdW4", "functional": "PBE-GGA", "state": "relaxed", "lattice_angstrom": [[0.000, 3.869, 3.869], [3.869, 0.000, 3.869], [3.869, 3.869, 0.000]], "species": ["Ca", "Cd", "W", "W", "W", "W"], "fractional_positions": [[0.000, 0.000, 0.000], [0.750, 0.750, 0.750], [0.375, 0.375, 0.375], [0.375, 0.375, 0.876], [0.375, 0.876, 0.375], [0.876, 0.375, 0.375]], "final_energy_ev_per_atom": -8.494, "magmom_total_mub_per_cell": 0.000, "sg": "F-43m, No. 216"}

Entry 4:
{"formula": "LiAc2Cd2", "functional": "PBE-GGA", "state": "relaxed", "lattice_angstrom": [[-2.011, 3.519, 5.444], [2.011, -3.519, 5.444], [2.011, 3.519, -5.444]], "species": ["Li", "Ac", "Ac", "Cd", "Cd"], "fractional_positions": [[0.000, 0.000, 0.000], [0.278, 0.778, 0.500], [0.722, 0.222, 0.500], [0.276, 0.500, 0.776], [0.724, 0.500, 0.224]], "final_energy_ev_per_atom": -2.587, "magmom_total_mub_per_cell": 0.000, "sg": "Immm, No. 71"}

Entry 5:
{"formula": "MnHBr4", "functional": "PBE-GGA", "state": "relaxed", "lattice_angstrom": [[3.127, -9.282, 0.000], [3.127, 9.282, 0.000], [-0.684, 0.000, 6.421]], "species": ["Mn", "Mn", "H", "H", "Br", "Br", "Br", "Br", "Br", "Br", "Br", "Br"], "fractional_positions": [[0.056, 0.944, 0.750], [0.944, 0.056, 0.250], [0.354, 0.646, 0.250], [0.646, 0.354, 0.750], [0.094, 0.400, 0.119], [0.176, 0.274, 0.582], [0.274, 0.176, 0.082], [0.400, 0.094, 0.619], [0.600, 0.906, 0.381], [0.726, 0.824, 0.918], [0.824, 0.726, 0.418], [0.906, 0.600, 0.881]], "final_energy_ev_per_atom": -3.683, "magmom_total_mub_per_cell": 8.000, "sg": "C2/c, No. 15"}

Entry 6:
{"formula": "ScAg2Rh", "functional": "PBE-GGA", "state": "relaxed", "lattice_angstrom": [[3.059, 0.000, 0.000], [0.000, 5.052, 0.000], [-0.319, 0.000, 4.608]], "species": ["Sc", "Ag", "Ag", "Rh"], "fractional_positions": [[0.000, 0.000, 0.000], [0.263, 0.500, 0.745], [0.737, 0.500, 0.255], [0.500, 0.000, 0.500]], "final_energy_ev_per_atom": -5.028, "magmom_total_mub_per_cell": 0.000, "sg": "P2/m, No. 10"}

Entry 7:
{"formula": "Nd3IrAu", "functional": "PBE-GGA", "state": "relaxed", "lattice_angstrom": [[7.692, 0.000, 0.000], [0.000, 4.607, 0.000], [0.000, 0.000, 15.735]], "species": ["Nd", "Nd", "Nd", "Nd", "Nd", "Nd", "Nd", "Nd", "Nd", "Nd", "Nd", "Nd", "Ir", "Ir", "Ir", "Ir", "Au", "Au", "Au", "Au"], "fractional_positions": [[0.016, 0.250, 0.099], [0.134, 0.750, 0.446], [0.177, 0.250, 0.719], [0.323, 0.750, 0.219], [0.366, 0.250, 0.946], [0.484, 0.750, 0.599], [0.516, 0.250, 0.401], [0.634, 0.750, 0.054], [0.677, 0.250, 0.781], [0.823, 0.750, 0.281], [0.866, 0.250, 0.554], [0.984, 0.750, 0.901], [0.235, 0.750, 0.044], [0.265, 0.250, 0.544], [0.735, 0.750, 0.456], [0.765, 0.250, 0.956], [0.114, 0.250, 0.303], [0.386, 0.750, 0.803], [0.614, 0.250, 0.197], [0.886, 0.750, 0.697]], "final_energy_ev_per_atom": -5.938, "magmom_total_mub_per_cell": 0.000, "sg": "Pnma, No. 62"}

Entry 8:
{"formula": "ZrRePt4", "functional": "PBE-GGA", "state": "relaxed", "lattice_angstrom": [[0.000, 3.700, 3.700], [3.700, 0.000, 3.700], [3.700, 3.700, 0.000]], "species": ["Zr", "Re", "Pt", "Pt", "Pt", "Pt"], "fractional_positions": [[0.000, 0.000, 0.000], [0.750, 0.750, 0.750], [0.376, 0.376, 0.376], [0.376, 0.376, 0.873], [0.376, 0.873, 0.376], [0.873, 0.376, 0.376]], "final_energy_ev_per_atom": -7.697, "magmom_total_mub_per_cell": 0.711, "sg": "F-43m, No. 216"}

Entry 9:
{"formula": "Er6Ni2Ag", "functional": "PBE-GGA", "state": "relaxed", "lattice_angstrom": [[-4.618, 4.722, 4.947], [4.618, -4.722, 4.947], [4.618, 4.722, -4.947]], "species": ["Er", "Er", "Er", "Er", "Er", "Er", "Er", "Er", "Er", "Er", "Er", "Er", "Ni", "Ni", "Ni", "Ni", "Ag", "Ag"], "fractional_positions": [[0.042, 0.237, 0.805], [0.181, 0.285, 0.466], [0.181, 0.715, 0.896], [0.325, 0.017, 0.692], [0.325, 0.633, 0.308], [0.432, 0.237, 0.195], [0.568, 0.763, 0.805], [0.675, 0.367, 0.692], [0.675, 0.983, 0.308], [0.819, 0.285, 0.104], [0.819, 0.715, 0.534], [0.958, 0.763, 0.195], [0.121, 0.621, 0.500], [0.348, 0.000, 0.348], [0.652, 0.000, 0.652], [0.879, 0.379, 0.500], [0.000, 0.000, 0.000], [0.500, 0.500, 0.000]], "final_energy_ev_per_atom": -4.944, "magmom_total_mub_per_cell": 0.000, "sg": "Immm, No. 71"}

Entry 10:
{"formula": "NbOsRh", "functional": "PBE-GGA", "state": "relaxed", "lattice_angstrom": [[4.422, 0.000, 0.000], [-2.211, 3.830, 0.000], [0.000, 0.000, 5.487]], "species": ["Nb", "Nb", "Os", "Os", "Rh", "Rh"], "fractional_positions": [[0.333, 0.667, 0.250], [0.667, 0.333, 0.750], [0.000, 0.000, 0.000], [0.000, 0.000, 0.500], [0.333, 0.667, 0.750], [0.667, 0.333, 0.250]], "final_energy_ev_per_atom": -9.827, "magmom_total_mub_per_cell": 0.000, "sg": "P6_3/mmc, No. 194"}

Entry 11:
{"formula": "ZnTcRh2F", "functional": "PBE-GGA", "state": "relaxed", "lattice_angstrom": [[4.724, 0.000, 0.000], [0.000, 4.724, 0.000], [0.000, 0.000, 3.948]], "species": ["Zn", "Tc", "Rh", "Rh", "F"], "fractional_positions": [[0.000, 0.000, 0.000], [0.500, 0.500, 0.500], [0.000, 0.500, 0.500], [0.500, 0.000, 0.500], [0.500, 0.500, 0.000]], "final_energy_ev_per_atom": -5.300, "magmom_total_mub_per_cell": 0.000, "formation_energy_uncorrected_mev_per_atom": 343, "sg": "P4/mmm, No. 123"}

Entry 12:
{"formula": "Zr2Cu2S", "functional": "PBE-GGA", "state": "relaxed", "lattice_angstrom": [[6.785, 0.000, 0.000], [0.000, 6.785, 0.000], [0.000, 0.000, 4.052]], "species": ["Zr", "Zr", "Zr", "Zr", "Cu", "Cu", "Cu", "Cu", "S", "S"], "fractional_positions": [[0.169, 0.331, 0.000], [0.331, 0.831, 0.000], [0.669, 0.169, 0.000], [0.831, 0.669, 0.000], [0.126, 0.626, 0.500], [0.374, 0.126, 0.500], [0.626, 0.874, 0.500], [0.874, 0.374, 0.500], [0.000, 0.000, 0.000], [0.500, 0.500, 0.000]], "final_energy_ev_per_atom": -6.295, "magmom_total_mub_per_cell": 0.000, "formation_energy_uncorrected_mev_per_atom": -412, "sg": "P4/mbm, No. 127"}

Entry 13:
{"formula": "ZnBr", "functional": "PBE-GGA", "state": "relaxed", "lattice_angstrom": [[10.890, 0.000, 0.000], [-5.445, 9.431, 0.000], [0.000, 0.000, 3.596]], "species": ["Zn", "Zn", "Zn", "Zn", "Zn", "Zn", "Br", "Br", "Br", "Br", "Br", "Br"], "fractional_positions": [[0.026, 0.600, 0.250], [0.400, 0.426, 0.250], [0.426, 0.026, 0.750], [0.574, 0.974, 0.250], [0.600, 0.574, 0.750], [0.974, 0.400, 0.750], [0.175, 0.794, 0.750], [0.206, 0.380, 0.750], [0.380, 0.175, 0.250], [0.620, 0.825, 0.750], [0.794, 0.620, 0.250], [0.825, 0.206, 0.250]], "final_energy_ev_per_atom": -1.893, "magmom_total_mub_per_cell": 0.000, "formation_energy_uncorrected_mev_per_atom": -419, "sg": "P6_3/m, No. 176"}

Entry 14:
{"formula": "RbSn2Ge", "functional": "PBE-GGA", "state": "relaxed", "lattice_angstrom": [[3.877, 0.000, 0.000], [0.000, 3.877, 0.000], [0.000, 0.000, 8.182]], "species": ["Rb", "Sn", "Sn", "Ge"], "fractional_positions": [[0.000, 0.000, 0.000], [0.500, 0.500, 0.325], [0.500, 0.500, 0.675], [0.000, 0.000, 0.500]], "final_energy_ev_per_atom": -3.445, "magmom_total_mub_per_cell": 0.000, "sg": "P4/mmm, No. 123"}

Entry 15:
{"formula": "BaPt2Au", "functional": "PBE-GGA", "state": "relaxed", "lattice_angstrom": [[0.000, 3.554, 3.554], [3.554, 0.000, 3.554], [3.554, 3.554, 0.000]], "species": ["Ba", "Pt", "Pt", "Au"], "fractional_positions": [[0.000, 0.000, 0.000], [0.250, 0.250, 0.250], [0.500, 0.500, 0.500], [0.750, 0.750, 0.750]], "final_energy_ev_per_atom": -4.309, "magmom_total_mub_per_cell": 0.000, "sg": "F-43m, No. 216"}

Entry 16:
{"formula": "LaZn4Cd4", "functional": "PBE-GGA", "state": "relaxed", "lattice_angstrom": [[-4.552, 4.552, 2.369], [4.552, -4.552, 2.369], [4.552, 4.552, -2.369]], "species": ["La", "Zn", "Zn", "Zn", "Zn", "Cd", "Cd", "Cd", "Cd"], "fractional_positions": [[0.000, 0.000, 0.000], [0.296, 0.388, 0.685], [0.388, 0.704, 0.092], [0.612, 0.296, 0.908], [0.704, 0.612, 0.315], [0.095, 0.634, 0.730], [0.366, 0.095, 0.461], [0.634, 0.905, 0.539], [0.905, 0.366, 0.270]], "final_energy_ev_per_atom": -1.597, "magmom_total_mub_per_cell": 0.000, "sg": "I4/m, No. 87"}

Entry 17:
{"formula": "AlPbCl2", "functional": "PBE-GGA", "state": "relaxed", "lattice_angstrom": [[-3.516, 3.516, 5.814], [3.516, -3.516, 5.814], [3.516, 3.516, -5.814]], "species": ["Al", "Al", "Pb", "Pb", "Cl", "Cl", "Cl", "Cl"], "fractional_positions": [[0.000, 0.000, 0.000], [0.750, 0.250, 0.500], [0.250, 0.750, 0.500], [0.500, 0.500, 0.000], [0.375, 0.215, 0.340], [0.785, 0.125, 0.160], [0.875, 0.035, 0.660], [0.965, 0.625, 0.840]], "final_energy_ev_per_atom": -2.923, "magmom_total_mub_per_cell": 1.090, "formation_energy_uncorrected_mev_per_atom": -137, "sg": "I-42d, No. 122"}

Entry 18:
{"formula": "SrLiEuMg", "functional": "PBE-GGA", "state": "relaxed", "lattice_angstrom": [[0.000, 4.127, 4.127], [4.127, 0.000, 4.127], [4.127, 4.127, 0.000]], "species": ["Sr", "Li", "Eu", "Mg"], "fractional_positions": [[0.000, 0.000, 0.000], [0.750, 0.750, 0.750], [0.500, 0.500, 0.500], [0.250, 0.250, 0.250]], "final_energy_ev_per_atom": -3.872, "magmom_total_mub_per_cell": 7.404, "sg": "F-43m, No. 216"}

Entry 19:
{"formula": "BaNi2Se", "functional": "PBE-GGA", "state": "relaxed", "lattice_angstrom": [[2.404, -2.414, 0.000], [2.404, 2.414, 0.000], [0.000, 0.000, 6.805]], "species": ["Ba", "Ni", "Ni", "Se"], "fractional_positions": [[0.000, 0.000, 0.000], [0.500, 0.500, 0.328], [0.500, 0.500, 0.672], [0.000, 0.000, 0.500]], "final_energy_ev_per_atom": -4.058, "magmom_total_mub_per_cell": 0.000, "formation_energy_uncorrected_mev_per_atom": 185, "sg": "Cmmm, No. 65"}

Entry 20:
{"formula": "MgSiP2O", "functional": "PBE-GGA", "state": "relaxed", "lattice_angstrom": [[4.450, 0.000, 0.000], [0.000, 4.450, 0.000], [0.000, 0.000, 3.835]], "species": ["Mg", "Si", "P", "P", "O"], "fractional_positions": [[0.000, 0.000, 0.000], [0.500, 0.500, 0.000], [0.000, 0.500, 0.500], [0.500, 0.000, 0.500], [0.000, 0.000, 0.500]], "final_energy_ev_per_atom": -4.528, "magmom_total_mub_per_cell": 0.000, "formation_energy_uncorrected_mev_per_atom": 31, "sg": "P4/mmm, No. 123"}

Entry 21:
{"formula": "SrYPa2O8", "functional": "PBE-GGA", "state": "relaxed", "lattice_angstrom": [[-2.757, 2.757, 5.419], [2.757, -2.757, 5.419], [2.757, 2.757, -5.419]], "species": ["Sr", "Y", "Pa", "Pa", "O", "O", "O", "O", "O", "O", "O", "O"], "fractional_positions": [[0.000, 0.000, 0.000], [0.250, 0.750, 0.500], [0.500, 0.500, 0.000], [0.750, 0.250, 0.500], [0.130, 0.142, 0.530], [0.130, 0.600, 0.987], [0.400, 0.387, 0.530], [0.400, 0.870, 0.013], [0.613, 0.142, 0.013], [0.613, 0.600, 0.470], [0.858, 0.387, 0.987], [0.858, 0.870, 0.470]], "final_energy_ev_per_atom": -8.912, "magmom_total_mub_per_cell": 0.690, "formation_energy_uncorrected_mev_per_atom": -3345, "sg": "I-4m2, No. 119"}

Entry 22:
{"formula": "La4SmDy", "functional": "PBE-GGA", "state": "relaxed", "lattice_angstrom": [[6.225, -2.920, 0.000], [6.225, 2.920, 0.000], [-4.275, 0.000, 11.636]], "species": ["La", "La", "La", "La", "La", "La", "La", "La", "Sm", "Sm", "Dy", "Dy"], "fractional_positions": [[0.041, 0.533, 0.712], [0.202, 0.703, 0.546], [0.297, 0.798, 0.954], [0.467, 0.959, 0.788], [0.533, 0.041, 0.212], [0.703, 0.202, 0.046], [0.798, 0.297, 0.454], [0.959, 0.467, 0.288], [0.249, 0.751, 0.250], [0.751, 0.249, 0.750], [0.000, 0.500, 0.000], [0.500, 0.000, 0.500]], "final_energy_ev_per_atom": -4.782, "magmom_total_mub_per_cell": 0.000, "sg": "C2/c, No. 15"}

Entry 23:
{"formula": "PrNbAl2", "functional": "PBE-GGA", "state": "relaxed", "lattice_angstrom": [[1.554, 0.897, 10.133], [-1.554, 0.897, 10.133], [0.000, -1.794, 10.133]], "species": ["Pr", "Nb", "Al", "Al"], "fractional_positions": [[0.000, 0.000, 0.000], [0.500, 0.500, 0.500], [0.240, 0.240, 0.240], [0.760, 0.760, 0.760]], "final_energy_ev_per_atom": -5.538, "magmom_total_mub_per_cell": 0.000, "sg": "R-3m, No. 166"}